(1)
The following is a DFT calculation (PBE) of crystalline V2Co2Hg at its relaxed geometry.

Cell lengths 3.9523, 3.9523, 5.4392 Å; angles 68.70, 68.70, 90.00 degrees
Sites, in units of the cell vectors:
Co 0.3791 0.3791 0.2419
Co 0.6209 0.6209 0.7581
Hg 0.0000 0.0000 0.0000
V 0.7500 0.2500 0.5000
V 0.2500 0.7500 0.5000

- Volume: 72.9 Å³/cell
- ΔH_f (0 K): 148.9 meV per atom
- Mass density: 9.58 g/cm³
- Relative energy among the computed polymorphs: 0.099 eV per atom



(2)
The following is a DFT calculation (PBE) of crystalline SrNiP2 at its relaxed geometry.

Cell lengths 4.7498, 4.7498, 8.1913 Å; angles 73.15, 73.15, 90.00 degrees
Sites, in units of the cell vectors:
Sr 0.0000 0.0000 0.0000
Sr 0.7500 0.2500 0.5000
P 0.3771 0.1250 0.2500
P 0.3729 0.6250 0.2500
P 0.3750 0.6229 0.7500
P 0.8750 0.6271 0.7500
Ni 0.5000 0.5000 0.0000
Ni 0.2500 0.7500 0.5000

- Volume: 168.6 Å³/cell
- ΔH_f (0 K): -609.3 meV per atom
- Mass density: 4.10 g/cm³



(3)
The following is a DFT calculation (PBE) of crystalline Li2Ca5Br12 at its relaxed geometry.

Cell lengths 8.1360, 8.6323, 10.5447 Å; angles 109.39, 90.00, 118.12 degrees
Sites, in units of the cell vectors:
Li 0.7060 0.0000 0.0000
Li 0.2940 0.0000 0.0000
Ca 0.3001 0.6002 0.6256
Ca 0.2659 0.5317 0.0234
Ca 0.0000 0.0000 0.5000
Ca 0.7341 0.4683 0.9766
Ca 0.6999 0.3998 0.3744
Br 0.9215 0.8431 0.1909
Br 0.0742 0.6363 0.8608
Br 0.5622 0.6363 0.8608
Br 0.1025 0.7247 0.4892
Br 0.6222 0.7247 0.4892
Br 0.5227 0.0454 0.8235
Br 0.4773 0.9546 0.1765
Br 0.8975 0.2753 0.5108
Br 0.3778 0.2753 0.5108
Br 0.9258 0.3637 0.1392
Br 0.4378 0.3637 0.1392
Br 0.0785 0.1569 0.8091

- Volume: 605.1 Å³/cell
- Mass density: 3.22 g/cm³
- E_form (uncorrected): -1.86 eV/atom